No. 1
Below is an optimized crystal structure of Te2IrI, with properties calculated at the PBE level.

The structure in extended XYZ format:
```
16
Lattice="6.771 0.000 0.000 0.000 10.660 0.000 0.000 0.000 6.251" Properties=species:S:1:pos:R:3 pbc="T T T"
I 5.714 9.194 0.417
I 1.056 1.465 3.542
I 4.442 3.864 3.542
I 2.329 6.795 0.417
Ir 1.194 4.377 0.133
Ir 5.577 6.282 3.258
Ir 2.191 9.707 3.258
Ir 4.579 0.953 0.133
Te 2.353 10.322 0.636
Te 4.418 0.337 3.761
Te 1.032 4.993 3.761
Te 5.739 5.667 0.636
Te 6.502 8.675 3.502
Te 0.269 1.985 0.376
Te 3.654 3.345 0.376
Te 3.117 7.315 3.502
```

The symmetry is Pna2_1, No. 33. The calculation puts the calculated total energy at -66.17 eV for the cell shown. For the density of states at the Fermi level, the calculation gives 6.11 states/eV/cell. Its formation energy (no corrections) is 0.0382 eV/atom.

No. 2
Below is an optimized crystal structure of ThTiCu2, with properties calculated at the PBE level.

The structure in extended XYZ format:
```
4
Lattice="-3.050 2.271 0.826 -2.649 -2.797 -2.093 -0.628 -2.203 3.738" Properties=species:S:1:pos:R:3 pbc="T T T"
Cu -0.314 -1.101 1.869
Cu -1.325 -1.398 -1.047
Th -1.525 1.136 0.413
Ti -3.164 -1.364 1.235
```

The symmetry is P4/mmm, No. 123. Its formation energy is 0.1013 eV/atom. The calculation puts the calculated total energy at -23.10 eV for the cell shown. For the density of states at the Fermi level, the calculation gives 4.41 states/eV/cell.

No. 3
Below is an optimized crystal structure of PmHo2Zn3, with properties calculated at the PBE level.

The structure in extended XYZ format:
```
6
Lattice="-2.012 2.745 1.129 -1.746 -2.198 2.233 7.217 2.114 7.724" Properties=species:S:1:pos:R:3 pbc="T T T"
Pm 1.730 1.331 5.543
Ho 4.158 2.042 8.142
Ho -0.699 0.620 2.944
Zn 0.000 0.000 0.000
Zn 4.891 1.433 5.234
Zn 2.326 0.681 2.490
```

The symmetry is P4/mmm, No. 123. Its formation energy is -0.3304 eV/atom. The calculation puts the calculated total energy at -19.71 eV for the cell shown. For the density of states at the Fermi level, the calculation gives 6.88 states/eV/cell.